Entry 1:
# Ca3PI3 (GGA-PBE, optimized geometry)
# - Total moment: 0.00 μB/cell
# - Density of states at the Fermi level: 0.00 states/eV per atom
# - Uncorrected formation energy: -1.511 eV/atom
# - Crystal system: cubic
data_Ca3PI3
_cell_length_a 12.436
_cell_length_b 12.436
_cell_length_c 12.436
_cell_angle_alpha 90.00
_cell_angle_beta 90.00
_cell_angle_gamma 90.00
_space_group_name_H-M_alt 'I 41 3 2'
_space_group_IT_number 214
_space_group_name_Hall 'I 4bd 2c 3'
loop_
_atom_site_label
_atom_site_type_symbol
_atom_site_fract_x
_atom_site_fract_y
_atom_site_fract_z
Ca1 Ca 0.107 0.357 0.125
P1 P 0.125 0.125 0.125
I1 I 0.122 0.128 0.625

---

Entry 2:
# NaTlRu2 (GGA-PBE, optimized geometry)
# - Total moment: 9.62 μB/cell
# - Density of states at the Fermi level: 1.09 states/eV per atom
# - Formation energy: 0.89 eV/atom
# - Crystal system: cubic
data_NaTlRu2
_cell_length_a 6.542
_cell_length_b 6.542
_cell_length_c 6.542
_cell_angle_alpha 90.00
_cell_angle_beta 90.00
_cell_angle_gamma 90.00
_space_group_name_H-M_alt 'F m -3 m'
_space_group_IT_number 225
_space_group_name_Hall '-F 4 2 3'
loop_
_atom_site_label
_atom_site_type_symbol
_atom_site_fract_x
_atom_site_fract_y
_atom_site_fract_z
Na1 Na 0.000 0.000 0.000
Tl1 Tl 0.000 0.000 0.500
Ru1 Ru 0.250 0.250 0.250

---

Entry 3:
# Ac2SmEu (GGA-PBE, optimized geometry)
# - Total moment: 7.42 μB/cell
# - Density of states at the Fermi level: 1.58 states/eV per atom
# - Formation energy: 0.05 eV/atom
# - Crystal system: tetragonal
data_Ac2SmEu
_cell_length_a 5.545
_cell_length_b 5.545
_cell_length_c 5.300
_cell_angle_alpha 90.00
_cell_angle_beta 90.00
_cell_angle_gamma 90.00
_space_group_name_H-M_alt 'P 4/m m m'
_space_group_IT_number 123
_space_group_name_Hall '-P 4 2'
loop_
_atom_site_label
_atom_site_type_symbol
_atom_site_fract_x
_atom_site_fract_y
_atom_site_fract_z
Ac1 Ac 0.000 0.500 0.000
Sm1 Sm 0.000 0.000 0.500
Eu1 Eu 0.500 0.500 0.500

---

Entry 4:
# LiNiSb2 (GGA-PBE, optimized geometry)
# - Total moment: 0.00 μB/cell
# - Density of states at the Fermi level: 0.45 states/eV per atom
# - Uncorrected formation energy: -0.085 eV/atom
# - Crystal system: tetragonal
data_LiNiSb2
_cell_length_a 4.496
_cell_length_b 4.496
_cell_length_c 3.712
_cell_angle_alpha 90.00
_cell_angle_beta 90.00
_cell_angle_gamma 90.00
_space_group_name_H-M_alt 'P 4/m m m'
_space_group_IT_number 123
_space_group_name_Hall '-P 4 2'
loop_
_atom_site_label
_atom_site_type_symbol
_atom_site_fract_x
_atom_site_fract_y
_atom_site_fract_z
Li1 Li 0.000 0.000 0.000
Ni1 Ni 0.500 0.500 0.000
Sb1 Sb 0.000 0.500 0.500

---

Entry 5:
# K2InSb (GGA-PBE, optimized geometry)
# - Total moment: 0.51 μB/cell
# - Density of states at the Fermi level: 1.01 states/eV per atom
# - Uncorrected formation energy: 0.000 eV/atom
# - Crystal system: trigonal
data_K2InSb
_cell_length_a 3.7144
_cell_length_b 3.7144
_cell_length_c 35.5493
_cell_angle_alpha 90.00
_cell_angle_beta 90.00
_cell_angle_gamma 120.00
_space_group_name_H-M_alt 'R -3 m'
_space_group_IT_number 166
_space_group_name_Hall '-R 3 2"'
loop_
_atom_site_label
_atom_site_type_symbol
_atom_site_fract_x
_atom_site_fract_y
_atom_site_fract_z
K1 K 0.0000 0.0000 0.2457
In1 In 0.0000 0.0000 0.0000
Sb1 Sb 0.0000 0.0000 0.5000

---

Entry 6:
# PaSiRh (GGA-PBE, optimized geometry)
# - Total moment: 0.00 μB/cell
# - Density of states at the Fermi level: 0.83 states/eV per atom
# - Uncorrected formation energy: 0.173 eV/atom
# - Crystal system: tetragonal
data_PaSiRh
_cell_length_a 2.909
_cell_length_b 2.909
_cell_length_c 13.877
_cell_angle_alpha 90.00
_cell_angle_beta 90.00
_cell_angle_gamma 90.00
_space_group_name_H-M_alt 'I 4 m m'
_space_group_IT_number 107
_space_group_name_Hall 'I 4 -2'
loop_
_atom_site_label
_atom_site_type_symbol
_atom_site_fract_x
_atom_site_fract_y
_atom_site_fract_z
Pa1 Pa 0.000 0.000 0.000
Si1 Si 0.000 0.000 0.344
Rh1 Rh 0.000 0.000 0.172